[1]
Computed, not measured: a relaxed Zn2InTc crystal at the PBE level of DFT. Values from VASP.

Structure (Quantum ESPRESSO input):
```
&SYSTEM
  ibrav = 0, nat = 4, ntyp = 3
/
ATOMIC_SPECIES
Zn 65.41 Zn.upf
In 114.82 In.upf
Tc 98.00 Tc.upf
CELL_PARAMETERS angstrom
-1.7269 2.1106 4.4955
1.7269 -2.1106 4.4955
1.7269 2.1106 -4.4955
ATOMIC_POSITIONS crystal
Zn 0.2376 0.2376 0.0000
Zn 0.7624 0.7624 0.0000
In 0.5000 0.0000 0.5000
Tc 0.0000 0.5000 0.5000
```

formation enthalpy at 0 K: 0.153 eV per atom
DOS(E_F): 3.48 states/eV/cell
magnetic moment: 0.165 Bohr magnetons per cell
space group: Immm, No. 71

---

[2]
Computed, not measured: a relaxed La6TcRu2Br3 crystal at the PBE level of DFT. Values from VASP.

Structure (Quantum ESPRESSO input):
```
&SYSTEM
  ibrav = 0, nat = 12, ntyp = 4
/
ATOMIC_SPECIES
La 138.91 La.upf
Tc 98.00 Tc.upf
Ru 101.07 Ru.upf
Br 79.90 Br.upf
CELL_PARAMETERS angstrom
3.6317 -6.2892 0.0000
3.6317 6.2892 0.0000
-2.4184 0.0000 7.8455
ATOMIC_POSITIONS crystal
La 0.0649 0.3966 0.1951
La 0.2670 0.2670 0.8053
La 0.3966 0.0649 0.1951
La 0.6034 0.9351 0.8049
La 0.7330 0.7330 0.1947
La 0.9351 0.6034 0.8049
Tc 0.0000 0.0000 0.0000
Ru 0.3330 0.6670 0.0000
Ru 0.6670 0.3330 0.0000
Br 0.1649 0.8351 0.5000
Br 0.5000 0.5000 0.5000
Br 0.8351 0.1649 0.5000
```

DOS(E_F): 5.37 states/eV/cell
E_form (uncorrected): -0.78 eV per atom
magnetic moment: 0.000 Bohr magnetons per cell
space group: C2/m, No. 12

---

[3]
Computed, not measured: a relaxed Th4Bi2AsPb crystal at the PBE level of DFT. Values from VASP.

Structure (Quantum ESPRESSO input):
```
&SYSTEM
  ibrav = 0, nat = 8, ntyp = 4
/
ATOMIC_SPECIES
Th 232.04 Th.upf
Bi 208.98 Bi.upf
As 74.92 As.upf
Pb 207.20 Pb.upf
CELL_PARAMETERS angstrom
7.8002 0.0000 0.0000
0.0000 4.4755 0.0000
-2.5705 0.0000 7.4422
ATOMIC_POSITIONS crystal
Th 0.2276 0.0000 0.2241
Th 0.2411 0.5000 0.7663
Th 0.7589 0.5000 0.2337
Th 0.7724 0.0000 0.7759
Bi 0.0000 0.0000 0.5000
Bi 0.5000 0.5000 0.5000
As 0.0000 0.5000 0.0000
Pb 0.5000 0.0000 0.0000
```

formation enthalpy at 0 K: -0.686 eV per atom
DOS(E_F): 5.23 states/eV/cell
magnetic moment: 0.000 Bohr magnetons per cell
space group: P2/m, No. 10

---

[4]
Computed, not measured: a relaxed La2ZrNi crystal at the PBE level of DFT. Values from VASP.

Structure (Quantum ESPRESSO input):
```
&SYSTEM
  ibrav = 0, nat = 4, ntyp = 3
/
ATOMIC_SPECIES
La 138.91 La.upf
Zr 91.22 Zr.upf
Ni 58.69 Ni.upf
CELL_PARAMETERS angstrom
3.4195 0.0000 0.0000
0.0000 3.4195 0.0000
0.0000 0.0000 8.9370
ATOMIC_POSITIONS crystal
La 0.0000 0.0000 0.0000
La 0.5000 0.5000 0.3567
Zr 0.5000 0.5000 0.7192
Ni 0.0000 0.0000 0.5845
```

ΔE to the lowest computed polymorph: 0 meV/atom
formation enthalpy at 0 K: -0.082 eV per atom
DOS(E_F): 6.16 states/eV/cell
magnetic moment: 0.000 Bohr magnetons per cell
space group: P4mm, No. 99

---

[5]
Computed, not measured: a relaxed Pm2Dy crystal at the PBE level of DFT. Values from VASP.

Structure (Quantum ESPRESSO input):
```
&SYSTEM
  ibrav = 0, nat = 3, ntyp = 2
/
ATOMIC_SPECIES
Pm 145.00 Pm.upf
Dy 162.50 Dy.upf
CELL_PARAMETERS angstrom
-1.8078 1.8078 7.6667
1.8078 -1.8078 7.6667
1.8078 1.8078 -7.6667
ATOMIC_POSITIONS crystal
Pm 0.1652 0.1652 0.0000
Pm 0.8348 0.8348 0.0000
Dy 0.5000 0.5000 0.0000
```

ΔE to the lowest computed polymorph: 0 meV/atom
formation enthalpy at 0 K: 0.018 eV per atom
DOS(E_F): 4.11 states/eV/cell
magnetic moment: 0.000 Bohr magnetons per cell
space group: I4/mmm, No. 139

---

[6]
Computed, not measured: a relaxed TlFeP2 crystal at the PBE level of DFT. Values from VASP.

Structure (Quantum ESPRESSO input):
```
&SYSTEM
  ibrav = 0, nat = 4, ntyp = 3
/
ATOMIC_SPECIES
Tl 204.38 Tl.upf
Fe 55.84 Fe.upf
P 30.97 P.upf
CELL_PARAMETERS angstrom
3.7797 0.0000 0.0000
0.0000 3.7797 0.0000
0.0000 0.0000 4.9917
ATOMIC_POSITIONS crystal
Tl 0.0000 0.0000 0.0000
Fe 0.5000 0.5000 0.0000
P 0.0000 0.5000 0.5000
P 0.5000 0.0000 0.5000
```

ΔE to the lowest computed polymorph: 818 meV/atom
formation enthalpy at 0 K: 0.784 eV per atom
DOS(E_F): 4.22 states/eV/cell
magnetic moment: 2.765 Bohr magnetons per cell
space group: P4/mmm, No. 123

---

[7]
Computed, not measured: a relaxed LaEuYMg crystal at the PBE level of DFT. Values from VASP.

Structure (Quantum ESPRESSO input):
```
&SYSTEM
  ibrav = 0, nat = 4, ntyp = 4
/
ATOMIC_SPECIES
La 138.91 La.upf
Eu 151.96 Eu.upf
Y 88.91 Y.upf
Mg 24.30 Mg.upf
CELL_PARAMETERS angstrom
0.0000 4.0382 4.0382
4.0382 0.0000 4.0382
4.0382 4.0382 0.0000
ATOMIC_POSITIONS crystal
La 0.0000 0.0000 0.0000
Eu 0.7500 0.7500 0.7500
Y 0.5000 0.5000 0.5000
Mg 0.2500 0.2500 0.2500
```

formation enthalpy at 0 K: 0.048 eV per atom
DOS(E_F): 4.61 states/eV/cell
magnetic moment: 7.284 Bohr magnetons per cell
space group: F-43m, No. 216

---

[8]
Computed, not measured: a relaxed SrTi2Mn crystal at the PBE level of DFT. Values from VASP.

Structure (Quantum ESPRESSO input):
```
&SYSTEM
  ibrav = 0, nat = 8, ntyp = 3
/
ATOMIC_SPECIES
Sr 87.62 Sr.upf
Ti 47.87 Ti.upf
Mn 54.94 Mn.upf
CELL_PARAMETERS angstrom
0.0000 4.8437 4.8437
4.8437 0.0000 4.8437
4.8437 4.8437 0.0000
ATOMIC_POSITIONS crystal
Sr 0.1250 0.1250 0.1250
Sr 0.8750 0.8750 0.8750
Ti 0.0000 0.5000 0.5000
Ti 0.5000 0.0000 0.5000
Ti 0.5000 0.5000 0.0000
Ti 0.5000 0.5000 0.5000
Mn 0.3750 0.3750 0.3750
Mn 0.6250 0.6250 0.6250
```

ΔE to the lowest computed polymorph: 0 meV/atom
formation enthalpy at 0 K: 0.848 eV per atom
DOS(E_F): 14.41 states/eV/cell
magnetic moment: 0.001 Bohr magnetons per cell
space group: Fd-3m, No. 227

---

[9]
Computed, not measured: a relaxed Ho5Zn crystal at the PBE level of DFT. Values from VASP.

Structure (Quantum ESPRESSO input):
```
&SYSTEM
  ibrav = 0, nat = 12, ntyp = 2
/
ATOMIC_SPECIES
Ho 164.93 Ho.upf
Zn 65.41 Zn.upf
CELL_PARAMETERS angstrom
-3.7561 3.7561 6.2593
3.7561 -3.7561 6.2593
3.7561 3.7561 -6.2593
ATOMIC_POSITIONS crystal
Ho 0.0000 0.0000 0.0000
Ho 0.0149 0.5149 0.8174
Ho 0.1976 0.0149 0.5000
Ho 0.3024 0.8024 0.8174
Ho 0.4851 0.3024 0.5000
Ho 0.5000 0.5000 0.0000
Ho 0.5149 0.6976 0.5000
Ho 0.6976 0.1976 0.1826
Ho 0.8024 0.9851 0.5000
Ho 0.9851 0.4851 0.1826
Zn 0.2500 0.2500 0.0000
Zn 0.7500 0.7500 0.0000
```

ΔE to the lowest computed polymorph: 119 meV/atom
formation enthalpy at 0 K: 0.114 eV per atom
DOS(E_F): 15.11 states/eV/cell
magnetic moment: 0.000 Bohr magnetons per cell
space group: I4/mcm, No. 140

---

[10]
Computed, not measured: a relaxed YNiMo2 crystal at the PBE level of DFT. Values from VASP.

Structure (Quantum ESPRESSO input):
```
&SYSTEM
  ibrav = 0, nat = 4, ntyp = 3
/
ATOMIC_SPECIES
Y 88.91 Y.upf
Ni 58.69 Ni.upf
Mo 95.94 Mo.upf
CELL_PARAMETERS angstrom
4.8549 -1.3982 0.0000
4.8549 1.3982 0.0000
-1.4459 0.0000 5.1654
ATOMIC_POSITIONS crystal
Y 0.0000 0.0000 0.0000
Ni 0.7498 0.7498 0.1024
Mo 0.1953 0.1953 0.6376
Mo 0.4160 0.4160 0.4693
```

ΔE to the lowest computed polymorph: 245 meV/atom
formation enthalpy at 0 K: 0.363 eV per atom
DOS(E_F): 4.13 states/eV/cell
magnetic moment: 0.000 Bohr magnetons per cell
space group: Cm, No. 8

---

[11]
Computed, not measured: a relaxed NbTc crystal at the PBE level of DFT. Values from VASP.

Structure (Quantum ESPRESSO input):
```
&SYSTEM
  ibrav = 0, nat = 2, ntyp = 2
/
ATOMIC_SPECIES
Nb 92.91 Nb.upf
Tc 98.00 Tc.upf
CELL_PARAMETERS angstrom
0.0000 2.8762 2.8762
2.8762 0.0000 2.8762
2.8762 2.8762 0.0000
ATOMIC_POSITIONS crystal
Nb 0.0000 0.0000 0.0000
Tc 0.7500 0.7500 0.7500
```

formation enthalpy at 0 K: 1.727 eV per atom
DOS(E_F): 1.75 states/eV/cell
magnetic moment: 0.000 Bohr magnetons per cell
space group: F-43m, No. 216

---

[12]
Computed, not measured: a relaxed V4S crystal at the PBE level of DFT. Values from VASP.

Structure (Quantum ESPRESSO input):
```
&SYSTEM
  ibrav = 0, nat = 5, ntyp = 2
/
ATOMIC_SPECIES
V 50.94 V.upf
S 32.06 S.upf
CELL_PARAMETERS angstrom
4.2699 0.0000 0.0000
0.0000 4.2699 0.0000
0.0000 0.0000 4.2699
ATOMIC_POSITIONS crystal
V 0.0000 0.0000 0.0000
V 0.0000 0.5000 0.5000
V 0.5000 0.0000 0.5000
V 0.5000 0.5000 0.0000
S 0.5000 0.5000 0.5000
```

DOS(E_F): 4.50 states/eV/cell
E_form (uncorrected): 0.18 eV per atom
magnetic moment: 0.366 Bohr magnetons per cell
space group: Pm-3m, No. 221

---

[13]
Computed, not measured: a relaxed Te2AuC crystal at the PBE level of DFT. Values from VASP.

Structure (Quantum ESPRESSO input):
```
&SYSTEM
  ibrav = 0, nat = 8, ntyp = 3
/
ATOMIC_SPECIES
Te 127.60 Te.upf
Au 196.97 Au.upf
C 12.01 C.upf
CELL_PARAMETERS angstrom
-2.9247 2.9247 5.7768
2.9247 -2.9247 5.7768
2.9247 2.9247 -5.7768
ATOMIC_POSITIONS crystal
Te 0.0626 0.6250 0.9376
Te 0.3750 0.3126 0.4376
Te 0.6874 0.1250 0.0624
Te 0.8750 0.9374 0.5624
Au 0.2500 0.7500 0.5000
Au 0.5000 0.5000 0.0000
C 0.0000 0.0000 0.0000
C 0.7500 0.2500 0.5000
```

DOS(E_F): 3.83 states/eV/cell
E_form (uncorrected): 0.88 eV per atom
magnetic moment: 0.000 Bohr magnetons per cell
space group: I-42d, No. 122